# Tb2PdPt2 PBE-GGA optimized geometry
data_Tb2PdPt2
_cell_length_a 7.5268
_cell_length_b 7.5268
_cell_length_c 7.5073
_cell_angle_alpha 90.00
_cell_angle_beta 90.00
_cell_angle_gamma 90.00
_space_group_name_H-M_alt 'P 4/m n c'
_space_group_IT_number 128
_space_group_name_Hall '-P 4 2n'
loop_
_atom_site_label
_atom_site_type_symbol
_atom_site_fract_x
_atom_site_fract_y
_atom_site_fract_z
Tb1 Tb 0.1727 0.3272 0.0000
Pd1 Pd 0.0000 0.0000 0.2485
Pt1 Pt 0.1309 0.6309 0.2500
# **E**: -127.54 eV per cell
# **Formation enthalpy at 0 K**: -1.070 eV/atom
# **Energy relative to the lowest polymorph listed for this composition**: 29.0 meV per atom